This record from Alexandria via LeMat-Bulk describes a relaxed ZrNbIn2W crystal. The functional is PBE-GGA.

Calculated values
SG: P4/mmm

Cell: 5.282 5.282 4.762 Å, 90.00 90.00 90.00°
Fractional coordinates of all 5 atoms:
Zr1 0.000 0.000 0.000
Nb1 0.500 0.500 0.500
In1 0.000 0.500 0.000
In2 0.500 0.000 0.000
W1 0.000 0.000 0.500

This record from Alexandria via LeMat-Bulk describes a relaxed YNb2In2 crystal. The functional is PBE-GGA.

Calculated values
SG: I4/mmm

Cell: 7.534 7.534 7.534 Å, 148.80 148.80 44.71°
Fractional coordinates of all 5 atoms:
Y1 0.000 0.000 0.000
Nb1 0.250 0.750 0.500
Nb2 0.750 0.250 0.500
In1 0.399 0.399 0.000
In2 0.601 0.601 0.000

This record from Alexandria via LeMat-Bulk describes a relaxed YNbIn2 crystal. The functional is PBE-GGA.

Calculated values
SG: I-42d

Cell: 11.110 11.110 11.110 Å, 157.06 157.06 32.66°
Fractional coordinates of all 8 atoms:
Y1 0.000 0.000 0.000
Y2 0.750 0.250 0.500
Nb1 0.250 0.750 0.500
Nb2 0.500 0.500 0.000
In1 0.157 0.625 0.032
In2 0.375 0.407 0.532
In3 0.593 0.125 0.968
In4 0.875 0.843 0.468

This record from Alexandria via LeMat-Bulk describes a relaxed Y2NbIn crystal. The functional is PBE-GGA.

Calculated values
SG: I-42d

Cell: 11.296 11.296 11.296 Å, 157.61 157.61 31.87°
Fractional coordinates of all 8 atoms:
Y1 0.119 0.625 0.994
Y2 0.375 0.369 0.494
Y3 0.631 0.125 0.006
Y4 0.875 0.881 0.506
Nb1 0.000 0.000 0.000
Nb2 0.750 0.250 0.500
In1 0.250 0.750 0.500
In2 0.500 0.500 0.000

This record from Alexandria via LeMat-Bulk describes a relaxed YNbIn3 crystal. The functional is PBE-GGA.

Calculated values
SG: Pm-3m

Cell: 5.293 5.293 5.293 Å, 90.00 90.00 90.00°
Fractional coordinates of all 5 atoms:
Y1 0.000 0.000 0.000
Nb1 0.500 0.500 0.500
In1 0.000 0.500 0.500
In2 0.500 0.000 0.500
In3 0.500 0.500 0.000

This record from Alexandria via LeMat-Bulk describes a relaxed YNb2In2 crystal. The functional is PBE-GGA.

Calculated values
SG: P4/mbm

Cell: 8.577 8.577 3.044 Å, 90.00 90.00 90.00°
Fractional coordinates of all 10 atoms:
Y1 0.000 0.000 0.000
Y2 0.500 0.500 0.000
Nb1 0.110 0.390 0.000
Nb2 0.390 0.890 0.000
Nb3 0.610 0.110 0.000
Nb4 0.890 0.610 0.000
In1 0.183 0.683 0.500
In2 0.317 0.183 0.500
In3 0.683 0.817 0.500
In4 0.817 0.317 0.500

This record from Alexandria via LeMat-Bulk describes a relaxed Nb12ZnIn3 crystal. The functional is PBE-GGA.

Calculated values
SG: Pmmm

Cell: 5.306 5.309 10.582 Å, 90.00 90.00 90.00°
Fractional coordinates of all 16 atoms:
Nb1 0.000 0.000 0.121
Nb2 0.000 0.000 0.372
Nb3 0.000 0.000 0.628
Nb4 0.000 0.000 0.879
Nb5 0.247 0.500 0.500
Nb6 0.259 0.500 0.000
Nb7 0.500 0.248 0.243
Nb8 0.500 0.248 0.757
Nb9 0.500 0.752 0.243
Nb10 0.500 0.752 0.757
Nb11 0.741 0.500 0.000
Nb12 0.753 0.500 0.500
Zn1 0.500 0.000 0.000
In1 0.000 0.500 0.250
In2 0.000 0.500 0.750
In3 0.500 0.000 0.500

This record from Alexandria via LeMat-Bulk describes a relaxed Nb2ZnIn crystal. The functional is PBE-GGA.

Calculated values
SG: R-3m

Cell: 9.773 9.773 9.773 Å, 17.63 17.63 17.63°
Fractional coordinates of all 4 atoms:
Nb1 0.246 0.246 0.246
Nb2 0.754 0.754 0.754
Zn1 0.500 0.500 0.500
In1 0.000 0.000 0.000

This record from Alexandria via LeMat-Bulk describes a relaxed Nb2ZnIn crystal. The functional is PBE-GGA.

Calculated values
SG: I-42d

Cell: 5.966 5.966 5.966 Å, 102.75 102.75 123.97°
Fractional coordinates of all 8 atoms:
Nb1 0.110 0.125 0.485
Nb2 0.375 0.890 0.015
Nb3 0.640 0.625 0.515
Nb4 0.875 0.360 0.985
Zn1 0.000 0.000 0.000
Zn2 0.750 0.250 0.500
In1 0.250 0.750 0.500
In2 0.500 0.500 0.000

This record from Alexandria via LeMat-Bulk describes a relaxed NbZn2In crystal. The functional is PBE-GGA.

Calculated values
SG: I-42d

Cell: 5.904 5.904 5.904 Å, 103.50 103.50 122.22°
Fractional coordinates of all 8 atoms:
Nb1 0.000 0.000 0.000
Nb2 0.750 0.250 0.500
Zn1 0.126 0.125 0.501
Zn2 0.375 0.874 0.999
Zn3 0.624 0.625 0.499
Zn4 0.875 0.376 0.001
In1 0.250 0.750 0.500
In2 0.500 0.500 0.000

This record from Alexandria via LeMat-Bulk describes a relaxed Nb2ZnIn2 crystal. The functional is PBE-GGA.

Calculated values
SG: P4/mbm

Cell: 7.007 7.007 4.222 Å, 90.00 90.00 90.00°
Fractional coordinates of all 10 atoms:
Nb1 0.134 0.366 0.000
Nb2 0.366 0.866 0.000
Nb3 0.634 0.134 0.000
Nb4 0.866 0.634 0.000
Zn1 0.000 0.000 0.000
Zn2 0.500 0.500 0.000
In1 0.168 0.668 0.500
In2 0.332 0.168 0.500
In3 0.668 0.832 0.500
In4 0.832 0.332 0.500

This record from Alexandria via LeMat-Bulk describes a relaxed NbZn3In crystal. The functional is PBE-GGA.

Calculated values
SG: Pm-3m

Cell: 5.144 5.144 5.144 Å, 90.00 90.00 90.00°
Fractional coordinates of all 5 atoms:
Nb1 0.000 0.000 0.000
Zn1 0.000 0.000 0.500
Zn2 0.000 0.500 0.000
Zn3 0.500 0.000 0.000
In1 0.500 0.500 0.500

This record from Alexandria via LeMat-Bulk describes a relaxed NbZn2In crystal. The functional is PBE-GGA.

Calculated values
SG: R-3m

Cell: 5.229 5.229 5.229 Å, 48.14 48.14 48.14°
Fractional coordinates of all 4 atoms:
Nb1 0.000 0.000 0.000
Zn1 0.243 0.243 0.243
Zn2 0.757 0.757 0.757
In1 0.500 0.500 0.500

This record from Alexandria via LeMat-Bulk describes a relaxed Nb2ZnIn crystal. The functional is PBE-GGA.

Calculated values
SG: P4/mmm

Cell: 4.022 4.022 4.461 Å, 90.00 90.00 90.00°
Fractional coordinates of all 4 atoms:
Nb1 0.000 0.500 0.000
Nb2 0.500 0.000 0.000
Zn1 0.000 0.000 0.500
In1 0.500 0.500 0.500

This record from Alexandria via LeMat-Bulk describes a relaxed Nb2ZnIn crystal. The functional is PBE-GGA.

Calculated values
SG: R3m

Cell: 9.762 9.762 9.762 Å, 17.67 17.67 17.67°
Fractional coordinates of all 4 atoms:
Nb1 0.000 0.000 0.000
Nb2 0.173 0.173 0.173
Zn1 0.587 0.587 0.587
In1 0.420 0.420 0.420

This record from Alexandria via LeMat-Bulk describes a relaxed Nb6ZnIn crystal. The functional is PBE-GGA.

Calculated values
SG: Cmmm

Cell: 5.769 5.769 4.468 Å, 90.00 90.00 102.29°
Fractional coordinates of all 8 atoms:
Nb1 0.000 0.500 0.500
Nb2 0.248 0.752 0.000
Nb3 0.264 0.264 0.000
Nb4 0.500 0.000 0.500
Nb5 0.736 0.736 0.000
Nb6 0.752 0.248 0.000
Zn1 0.500 0.500 0.500
In1 0.000 0.000 0.500

This record from Alexandria via LeMat-Bulk describes a relaxed NbZn2In crystal. The functional is PBE-GGA.

Calculated values
SG: P4/mmm

Cell: 4.110 4.110 4.058 Å, 90.00 90.00 90.00°
Fractional coordinates of all 4 atoms:
Nb1 0.000 0.000 0.000
Zn1 0.000 0.500 0.500
Zn2 0.500 0.000 0.500
In1 0.500 0.500 0.000

This record from Alexandria via LeMat-Bulk describes a relaxed ZrNbIn crystal. The functional is PBE-GGA.

Calculated values
SG: P2_1/m

Cell: 3.367 3.355 11.899 Å, 90.00 97.92 90.00°
Fractional coordinates of all 6 atoms:
Zr1 0.142 0.250 0.282
Zr2 0.858 0.750 0.718
Nb1 0.281 0.250 0.563
Nb2 0.719 0.750 0.437
In1 0.442 0.250 0.891
In2 0.558 0.750 0.109

This record from Alexandria via LeMat-Bulk describes a relaxed ZrNbIn2 crystal. The functional is PBE-GGA.

Calculated values
SG: Fm-3m

Cell: 4.914 4.914 4.914 Å, 60.00 60.00 60.00°
Fractional coordinates of all 4 atoms:
Zr1 0.000 0.000 0.000
Nb1 0.500 0.500 0.500
In1 0.250 0.250 0.250
In2 0.750 0.750 0.750

This record from Alexandria via LeMat-Bulk describes a relaxed Zr6NbIn10 crystal. The functional is PBE-GGA.

Calculated values
SG: P-31m

Cell: 8.679 8.679 5.990 Å, 90.00 90.00 120.00°
Fractional coordinates of all 17 atoms:
Zr1 0.000 0.382 0.289
Zr2 0.000 0.618 0.711
Zr3 0.382 0.000 0.289
Zr4 0.382 0.382 0.711
Zr5 0.618 0.000 0.711
Zr6 0.618 0.618 0.289
Nb1 0.000 0.000 0.500
In1 0.000 0.259 0.801
In2 0.000 0.741 0.199
In3 0.259 0.000 0.801
In4 0.259 0.259 0.199
In5 0.333 0.667 0.000
In6 0.333 0.667 0.500
In7 0.667 0.333 0.000
In8 0.667 0.333 0.500
In9 0.741 0.000 0.199
In10 0.741 0.741 0.801

This record from Alexandria via LeMat-Bulk describes a relaxed ZrNbIn crystal. The functional is PBE-GGA.

Calculated values
SG: P3m1

Cell: 5.022 5.022 2.859 Å, 90.00 90.00 120.00°
Fractional coordinates of all 3 atoms:
Zr1 0.000 0.000 0.000
Nb1 0.667 0.333 0.664
In1 0.333 0.667 0.373

This record from Alexandria via LeMat-Bulk describes a relaxed ZrNbIn crystal. The functional is PBE-GGA.

Calculated values
SG: I4mm

Cell: 5.432 5.432 5.432 Å, 141.00 141.00 56.34°
Fractional coordinates of all 3 atoms:
Zr1 0.000 0.000 0.000
Nb1 0.338 0.338 0.000
In1 0.676 0.676 0.000

This record from Alexandria via LeMat-Bulk describes a relaxed ZrNbIn2 crystal. The functional is PBE-GGA.

Calculated values
SG: I-42d

Cell: 6.287 6.287 6.287 Å, 103.00 103.00 123.36°
Fractional coordinates of all 8 atoms:
Zr1 0.000 0.000 0.000
Zr2 0.750 0.250 0.500
Nb1 0.250 0.750 0.500
Nb2 0.500 0.500 0.000
In1 0.135 0.125 0.510
In2 0.375 0.865 0.990
In3 0.615 0.625 0.490
In4 0.875 0.385 0.010

This record from Alexandria via LeMat-Bulk describes a relaxed ZrNbIn2 crystal. The functional is PBE-GGA.

Calculated values
SG: P4/mmm

Cell: 3.727 3.727 6.077 Å, 90.00 90.00 90.00°
Fractional coordinates of all 4 atoms:
Zr1 0.000 0.000 0.000
Nb1 0.000 0.000 0.500
In1 0.500 0.500 0.260
In2 0.500 0.500 0.740

This record from Alexandria via LeMat-Bulk describes a relaxed ZrNbIn2 crystal. The functional is PBE-GGA.

Calculated values
SG: P4/mmm

Cell: 4.297 4.297 4.520 Å, 90.00 90.00 90.00°
Fractional coordinates of all 4 atoms:
Zr1 0.000 0.000 0.000
Nb1 0.500 0.500 0.000
In1 0.000 0.500 0.500
In2 0.500 0.000 0.500

This record from Alexandria via LeMat-Bulk describes a relaxed Nd8In3 crystal. The functional is PBE-GGA.

Calculated values
SG: R-3

Cell: 7.360 7.360 7.360 Å, 89.31 89.31 89.31°
Fractional coordinates of all 11 atoms:
Nd1 0.140 0.140 0.140
Nd2 0.183 0.357 0.623
Nd3 0.357 0.623 0.183
Nd4 0.377 0.817 0.643
Nd5 0.623 0.183 0.357
Nd6 0.643 0.377 0.817
Nd7 0.817 0.643 0.377
Nd8 0.860 0.860 0.860
In1 0.000 0.000 0.500
In2 0.000 0.500 0.000
In3 0.500 0.000 0.000

| no. | E_form (eV/atom) |
| --- | --- |
| 1 | 1.807 |
| 2 | -0.056 |
| 3 | 0.402 |
| 4 | 0.493 |
| 5 | 0.321 |
| 6 | 0.035 |
| 7 | 0.011 |
| 8 | 0.164 |
| 9 | 0.416 |
| 10 | 0.329 |
| 11 | 0.207 |
| 12 | 0.901 |
| 13 | 0.320 |
| 14 | -0.028 |
| 15 | 0.143 |
| 16 | -0.003 |
| 17 | -0.082 |
| 18 | -0.057 |
| 19 | 0.069 |
| 20 | -0.087 |
| 21 | 0.065 |
| 22 | -0.052 |
| 23 | 0.253 |
| 24 | 0.000 |
| 25 | -0.132 |
| 26 | 0.046 |